{"formula": "La2ThCd6", "functional": "PBE-GGA", "state": "relaxed", "cell": [[3.430, 0.000, 0.000], [0.000, 7.738, -4.467], [0.000, 0.000, 8.935]], "species": ["Cd", "Th", "Cd", "Cd", "Cd", "Cd", "La", "Cd", "La"], "fractional_positions": [[0.500, 0.332, 0.332], [0.000, 0.000, 0.000], [0.500, 0.668, 0.000], [0.500, 0.000, 0.668], [0.500, 0.000, 0.332], [0.500, 0.332, 0.000], [0.000, 0.333, 0.667], [0.500, 0.668, 0.668], [0.000, 0.667, 0.333]], "final_energy_ev_per_atom": -2.841, "m_tot_mub_per_cell": 0.45}


{"formula": "La9ThCd2", "functional": "PBE-GGA", "state": "relaxed", "cell": [[5.121, 0.000, 0.000], [0.000, 5.121, 0.000], [0.000, 0.000, 15.262]], "species": ["La", "La", "La", "La", "Cd", "Cd", "La", "La", "Th", "La", "La", "La"], "fractional_positions": [[0.500, 0.000, 0.167], [0.500, 0.500, 0.663], [0.500, 0.500, 0.000], [0.500, 0.000, 0.500], [0.000, 0.000, 0.662], [0.000, 0.000, 0.338], [0.500, 0.500, 0.337], [0.500, 0.000, 0.833], [0.000, 0.000, 0.000], [0.000, 0.500, 0.500], [0.000, 0.500, 0.833], [0.000, 0.500, 0.167]], "final_energy_ev_per_atom": -4.544, "m_tot_mub_per_cell": 0.00}


{"formula": "LaThTlCd", "functional": "PBE-GGA", "state": "relaxed", "cell": [[5.534, 0.000, 0.000], [2.767, 4.792, 0.000], [2.767, 1.597, 4.518]], "species": ["Tl", "Cd", "La", "Th"], "fractional_positions": [[0.250, 0.250, 0.250], [0.750, 0.750, 0.750], [0.000, 0.000, 0.000], [0.500, 0.500, 0.500]], "final_energy_ev_per_atom": -4.111, "m_tot_mub_per_cell": 0.00}


{"formula": "LaTmThCd", "functional": "PBE-GGA", "state": "relaxed", "cell": [[5.561, 0.000, 0.000], [2.781, 4.816, 0.000], [2.781, 1.605, 4.541]], "species": ["Th", "Cd", "La", "Tm"], "fractional_positions": [[0.250, 0.250, 0.250], [0.500, 0.500, 0.500], [0.750, 0.750, 0.750], [0.000, 0.000, 0.000]], "final_energy_ev_per_atom": -4.410, "m_tot_mub_per_cell": 0.00}


{"formula": "LaTmThCd", "functional": "PBE-GGA", "state": "relaxed", "cell": [[-3.540, -0.084, 0.791], [-0.227, -3.352, -1.369], [1.904, -3.460, 8.155]], "species": ["La", "Cd", "Tm", "Th"], "fractional_positions": [[0.000, 0.000, 0.084], [0.500, 0.500, 0.340], [0.000, 0.000, 0.552], [0.500, 0.500, 0.809]], "final_energy_ev_per_atom": -4.599, "m_tot_mub_per_cell": 0.00}


{"formula": "LaThZnCd", "functional": "PBE-GGA", "state": "relaxed", "cell": [[-3.386, -3.920, 1.436], [0.946, -2.875, 4.442], [-3.143, 0.612, 4.317]], "species": ["Cd", "La", "Th", "Zn"], "fractional_positions": [[0.750, 0.750, 0.750], [0.000, 0.000, 0.000], [0.500, 0.500, 0.500], [0.250, 0.250, 0.250]], "final_energy_ev_per_atom": -3.800, "m_tot_mub_per_cell": 0.00}